# 1
A relaxed structure of CaMo2As, computed with GGA-PBE.

For the volume, the calculation gives 18.1 Å³/atom. The value obtained for the density of states at the Fermi level is 3.84 states/eV per cell. The calculation puts the uncorrected energy at -6.703 eV/atom.

The structure belongs to space group P4/mmm (No. 123); the cell edges are 3.908, 3.908 and 4.740 Å and the angles 90.00°, 90.00° and 90.00°. Symmetry generates all atoms from Ca at (0.000, 0.000, 0.000), Mo at (0.000, 0.500, 0.500) and As at (0.500, 0.500, 0.000).

=====

# 2
A relaxed structure of CaMoAs2, computed with GGA-PBE.

For the volume, the calculation gives 18.7 Å³/atom. For the relative energy among the computed polymorphs, the calculation gives 0.0107 eV per atom. The value obtained for the density of states at the Fermi level is 1.53 states/eV per cell.

The structure belongs to space group P4/mmm (No. 123); the cell edges are 3.236, 3.236 and 7.154 Å and the angles 90.00°, 90.00° and 90.00°. Symmetry generates all atoms from Ca at (0.000, 0.000, 0.000), Mo at (0.000, 0.000, 0.500) and As at (0.500, 0.500, 0.295).

=====

# 3
A relaxed structure of CaMoAsN2, computed with GGA-PBE.

For the volume, the calculation gives 16.9 Å³/atom. The value obtained for the density of states at the Fermi level is 4.93 states/eV per cell. The calculation puts the uncorrected energy at -5.326 eV/atom.

The structure belongs to space group P4/mmm (No. 123); the cell edges are 4.208, 4.208 and 4.765 Å and the angles 90.00°, 90.00° and 90.00°. Symmetry generates all atoms from Ca at (0.000, 0.000, 0.000), Mo at (0.500, 0.500, 0.000), As at (0.500, 0.500, 0.500) and N at (0.000, 0.500, 0.500).

=====

# 4
A relaxed structure of Na2CaMoAs, computed with GGA-PBE.

For the volume, the calculation gives 27.9 Å³/atom. The value obtained for the density of states at the Fermi level is 3.98 states/eV per cell. The calculation puts the uncorrected energy at -2.525 eV/atom.

The structure belongs to space group P4/mmm (No. 123); the cell edges are 5.301, 5.301 and 4.968 Å and the angles 90.00°, 90.00° and 90.00°. Symmetry generates all atoms from Na at (0.000, 0.500, 0.000), Ca at (0.000, 0.000, 0.000), Mo at (0.000, 0.000, 0.500) and As at (0.500, 0.500, 0.500).